Entry 1:
# BaNi4O8 | Alexandria | PBE with a Hubbard U | relaxed
# polymorph energy (0 for the lowest one)	0.0	meV/atom
# volume	13.97	A^3/atom
data_BaNi4O8
_chemical_formula_sum 'Ba3 Ni12 O24'
_cell_length_a 5.7276
_cell_length_b 5.7276
_cell_length_c 19.1827
_cell_angle_alpha 90.00
_cell_angle_beta 90.00
_cell_angle_gamma 120.00
_space_group_name_H-M_alt 'R -3 m'
_space_group_IT_number 166
_space_group_name_Hall '-R 3 2"'
loop_
_atom_site_label
_atom_site_fract_x
_atom_site_fract_y
_atom_site_fract_z
Ba1 0.0000 0.0000 0.0000
Ni1 0.0000 0.0000 0.5000
Ni2 0.0000 0.5000 0.5000
O1 0.0000 0.0000 0.2168
O2 0.0205 0.5103 0.7815



Entry 2:
# Ba5NiO6 | Alexandria | PBE with a Hubbard U | relaxed
# VASP energy	-5.552	eV/atom
# volume	20.69	A^3/atom
data_Ba5NiO6
_chemical_formula_sum 'Ba10 Ni2 O12'
_cell_length_a 6.6139
_cell_length_b 11.6921
_cell_length_c 6.6907
_cell_angle_alpha 90.00
_cell_angle_beta 106.30
_cell_angle_gamma 90.00
_space_group_name_H-M_alt 'C 1 2/m 1'
_space_group_IT_number 12
loop_
_space_group_symop_operation_xyz
'x,y,z'
'-x,-y,-z'
'-x,y,-z'
'x,-y,z'
'x+1/2,y+1/2,z'
'-x+1/2,-y+1/2,-z'
'-x+1/2,y+1/2,-z'
'x+1/2,-y+1/2,z'
loop_
_atom_site_label
_atom_site_fract_x
_atom_site_fract_y
_atom_site_fract_z
Ba1 0.0000 0.0000 0.0000
Ba2 0.0000 0.1740 0.5000
Ba3 0.0000 0.3393 0.0000
Ni1 0.0000 0.5000 0.5000
O1 0.1926 0.5000 0.3335
O2 0.2208 0.1741 0.2217



Entry 3:
# BaNiO | Alexandria | PBE with a Hubbard U | relaxed
# polymorph energy (0 for the lowest one)	131.4	meV/atom
# volume	26.56	A^3/atom
data_BaNiO
_chemical_formula_sum 'Ba4 Ni4 O4'
_cell_length_a 3.8739
_cell_length_b 7.6438
_cell_length_c 10.7617
_cell_angle_alpha 90.00
_cell_angle_beta 90.00
_cell_angle_gamma 90.00
_space_group_name_H-M_alt 'I m m a'
_space_group_IT_number 74
_space_group_name_Hall '-I 2b 2'
loop_
_atom_site_label
_atom_site_fract_x
_atom_site_fract_y
_atom_site_fract_z
Ba1 0.0000 0.0000 0.0000
Ni1 0.0000 0.2500 0.3173
O1 0.0000 0.2500 0.5009



Entry 4:
# Ba2NiO | Alexandria | PBE with a Hubbard U | relaxed
# polymorph energy (0 for the lowest one)	0.0	meV/atom
# volume	29.73	A^3/atom
data_Ba2NiO
_chemical_formula_sum 'Ba8 Ni4 O4'
_cell_length_a 7.2570
_cell_length_b 7.2570
_cell_length_c 9.0325
_cell_angle_alpha 90.00
_cell_angle_beta 90.00
_cell_angle_gamma 90.00
_space_group_name_H-M_alt 'I -4 2 d'
_space_group_IT_number 122
_space_group_name_Hall 'I -4 2bw'
loop_
_atom_site_label
_atom_site_fract_x
_atom_site_fract_y
_atom_site_fract_z
Ba1 0.1957 0.2500 0.1250
Ni1 0.0000 0.0000 0.5000
O1 0.0000 0.0000 0.0000



Entry 5:
# BaNiO | Alexandria | PBE with a Hubbard U | relaxed
# polymorph energy (0 for the lowest one)	270.2	meV/atom
# volume	20.12	A^3/atom
data_BaNiO
_chemical_formula_sum 'Ba4 Ni4 O4'
_cell_length_a 8.1125
_cell_length_b 3.9463
_cell_length_c 7.5409
_cell_angle_alpha 90.00
_cell_angle_beta 90.00
_cell_angle_gamma 90.00
_space_group_name_H-M_alt 'P n m a'
_space_group_IT_number 62
loop_
_space_group_symop_operation_xyz
'x,y,z'
'-x,-y,-z'
'-x+1/2,-y,z+1/2'
'x+1/2,y,-z+1/2'
'x+1/2,-y+1/2,-z+1/2'
'-x+1/2,y+1/2,z+1/2'
'-x,y+1/2,-z'
'x,-y+1/2,z'
loop_
_atom_site_label
_atom_site_fract_x
_atom_site_fract_y
_atom_site_fract_z
Ba1 0.1671 0.2500 0.1516
Ni1 0.0224 0.2500 0.5825
O1 0.0761 0.2500 0.8149



Entry 6:
# BaNiO | Alexandria | PBE with a Hubbard U | relaxed
# polymorph energy (0 for the lowest one)	426.4	meV/atom
# volume	22.60	A^3/atom
data_BaNiO
_chemical_formula_sum 'Ba2 Ni2 O2'
_cell_length_a 4.1038
_cell_length_b 4.1038
_cell_length_c 8.0534
_cell_angle_alpha 90.00
_cell_angle_beta 90.00
_cell_angle_gamma 90.00
_space_group_name_H-M_alt 'P 4/n m m'
_space_group_IT_number 129
loop_
_space_group_symop_operation_xyz
'x,y,z'
'-x,-y,-z'
'-y+1/2,x,z'
'y+1/2,-x,-z'
'-x+1/2,-y+1/2,z'
'x+1/2,y+1/2,-z'
'y,-x+1/2,z'
'-y,x+1/2,-z'
'x+1/2,-y,-z'
'-x+1/2,y,z'
'-y,-x,-z'
'y,x,z'
'-x,y+1/2,-z'
'x,-y+1/2,z'
'y+1/2,x+1/2,-z'
'-y+1/2,-x+1/2,z'
loop_
_atom_site_label
_atom_site_fract_x
_atom_site_fract_y
_atom_site_fract_z
Ba1 0.2500 0.2500 0.2417
Ni1 0.2500 0.2500 0.5794
O1 0.2500 0.7500 0.5000